## NaTiCd (PBE)

Data for a geometry-optimized NaTiCd structure.

The value obtained for the formation energy is 0.38 eV/atom. The value obtained for the magnetic moment is 0.000 μB per atom. As for the space group: Fmmm.

Structure (CIF):
```
data_NaTiCd
_space_group_name_H-M_alt 'P 1'
_space_group_IT_number 1
_space_group_name_Hall 'P 1'
_cell_length_a 7.9415
_cell_length_b 7.4480
_cell_length_c 4.5829
_cell_angle_alpha 78.67
_cell_angle_beta 66.87
_cell_angle_gamma 34.46
loop_
_atom_site_label
_atom_site_fract_x
_atom_site_fract_y
_atom_site_fract_z
Na1 0.2500 0.2500 0.2500
Na2 0.7500 0.7500 0.7500
Ti1 0.1427 0.8573 0.1427
Ti2 0.8573 0.1427 0.8573
Cd1 0.4011 0.4011 0.5989
Cd2 0.5989 0.5989 0.4011
```

=====

## Ce6HgRh5 (PBE)

Data for a geometry-optimized Ce6HgRh5 structure.

The value obtained for the formation energy is -0.59 eV/atom. The value obtained for the magnetic moment is 0.105 μB per atom. As for the space group: C2/m.

Structure (CIF):
```
data_Ce6HgRh5
_space_group_name_H-M_alt 'P 1'
_space_group_IT_number 1
_space_group_name_Hall 'P 1'
_cell_length_a 6.9746
_cell_length_b 6.9746
_cell_length_c 7.0620
_cell_angle_alpha 99.39
_cell_angle_beta 99.39
_cell_angle_gamma 117.80
loop_
_atom_site_label
_atom_site_fract_x
_atom_site_fract_y
_atom_site_fract_z
Ce1 0.0500 0.4086 0.7314
Ce2 0.2189 0.2189 0.2461
Ce3 0.4086 0.0500 0.7314
Ce4 0.5914 0.9500 0.2686
Ce5 0.7811 0.7811 0.7539
Ce6 0.9500 0.5914 0.2686
Hg1 0.5000 0.5000 0.0000
Rh1 0.0000 0.0000 0.5000
Rh2 0.1727 0.8273 0.0000
Rh3 0.3517 0.6483 0.5000
Rh4 0.6483 0.3517 0.5000
Rh5 0.8273 0.1727 0.0000
```

=====

## BaLi3Zn3 (PBE)

Data for a geometry-optimized BaLi3Zn3 structure.

The energy above the most stable polymorph in this dataset comes out at 0.000 eV/atom. The value obtained for the formation energy is -0.09 eV/atom. The value obtained for the magnetic moment is 0.000 μB per atom. As for the space group: R-3m.

Structure (CIF):
```
data_BaLi3Zn3
_space_group_name_H-M_alt 'P 1'
_space_group_IT_number 1
_space_group_name_Hall 'P 1'
_cell_length_a 7.6557
_cell_length_b 7.6557
_cell_length_c 7.6557
_cell_angle_alpha 60.05
_cell_angle_beta 60.05
_cell_angle_gamma 60.05
loop_
_atom_site_label
_atom_site_fract_x
_atom_site_fract_y
_atom_site_fract_z
Ba1 0.1123 0.1123 0.1123
Ba2 0.8877 0.8877 0.8877
Li1 0.1714 0.5578 0.5578
Li2 0.4422 0.4422 0.8286
Li3 0.4422 0.8286 0.4422
Li4 0.5578 0.1714 0.5578
Li5 0.5578 0.5578 0.1714
Li6 0.8286 0.4422 0.4422
Zn1 0.1993 0.1993 0.5514
Zn2 0.1993 0.5514 0.1993
Zn3 0.4486 0.8007 0.8007
Zn4 0.5514 0.1993 0.1993
Zn5 0.8007 0.4486 0.8007
Zn6 0.8007 0.8007 0.4486
```

=====

## PmY3Tm5 (PBE)

Data for a geometry-optimized PmY3Tm5 structure.

The energy above the most stable polymorph in this dataset comes out at 0.222 eV/atom. The value obtained for the formation energy is 0.54 eV/atom. The value obtained for the magnetic moment is 0.000 μB per atom. As for the space group: C2/m.

Structure (CIF):
```
data_PmY3Tm5
_space_group_name_H-M_alt 'P 1'
_space_group_IT_number 1
_space_group_name_Hall 'P 1'
_cell_length_a 9.4375
_cell_length_b 9.4375
_cell_length_c 10.0116
_cell_angle_alpha 121.67
_cell_angle_beta 121.67
_cell_angle_gamma 72.93
loop_
_atom_site_label
_atom_site_fract_x
_atom_site_fract_y
_atom_site_fract_z
Pm1 0.2495 0.2495 0.0982
Pm2 0.7505 0.7505 0.9018
Y1 0.0000 0.0000 0.0000
Y2 0.0106 0.0106 0.3123
Y3 0.4768 0.4768 0.1334
Y4 0.5000 0.5000 0.5000
Y5 0.5232 0.5232 0.8666
Y6 0.9894 0.9894 0.6877
Tm1 0.0959 0.5949 0.7431
Tm2 0.2182 0.2182 0.7269
Tm3 0.2386 0.7614 0.5000
Tm4 0.2778 0.2778 0.4640
Tm5 0.4051 0.9041 0.2569
Tm6 0.5949 0.0959 0.7431
Tm7 0.7222 0.7222 0.5360
Tm8 0.7614 0.2386 0.5000
Tm9 0.7818 0.7818 0.2731
Tm10 0.9041 0.4051 0.2569
```

=====

## CaZn2Se (PBE)

Data for a geometry-optimized CaZn2Se structure.

The value obtained for the magnetic moment is 0.000 μB per atom. Its formation energy without anion corrections is -0.438 eV per atom. As for the space group: I-4m2.

Structure (CIF):
```
data_CaZn2Se
_space_group_name_H-M_alt 'P 1'
_space_group_IT_number 1
_space_group_name_Hall 'P 1'
_cell_length_a 4.6070
_cell_length_b 4.6070
_cell_length_c 8.3354
_cell_angle_alpha 90.00
_cell_angle_beta 90.00
_cell_angle_gamma 90.00
loop_
_atom_site_label
_atom_site_fract_x
_atom_site_fract_y
_atom_site_fract_z
Ca1 0.0000 0.0000 0.0000
Ca2 0.5000 0.5000 0.5000
Zn1 0.0000 0.0000 0.5000
Zn2 0.0000 0.5000 0.2500
Zn3 0.5000 0.0000 0.7500
Zn4 0.5000 0.5000 0.0000
Se1 0.0000 0.5000 0.7500
Se2 0.5000 0.0000 0.2500
```

=====

## TlGe2Rh (PBE)

Data for a geometry-optimized TlGe2Rh structure.

The energy above the most stable polymorph in this dataset comes out at 0.166 eV/atom. The value obtained for the formation energy is 0.14 eV/atom. The value obtained for the magnetic moment is 0.000 μB per atom. As for the space group: I-42d.

Structure (CIF):
```
data_TlGe2Rh
_space_group_name_H-M_alt 'P 1'
_space_group_IT_number 1
_space_group_name_Hall 'P 1'
_cell_length_a 4.6899
_cell_length_b 4.6899
_cell_length_c 16.1777
_cell_angle_alpha 90.00
_cell_angle_beta 90.00
_cell_angle_gamma 90.00
loop_
_atom_site_label
_atom_site_fract_x
_atom_site_fract_y
_atom_site_fract_z
Tl1 0.0000 0.0000 0.0000
Tl2 0.0000 0.5000 0.2500
Tl3 0.5000 0.0000 0.7500
Tl4 0.5000 0.5000 0.5000
Ge1 0.1548 0.2500 0.6250
Ge2 0.2500 0.6548 0.8750
Ge3 0.2500 0.8452 0.3750
Ge4 0.3452 0.2500 0.1250
Ge5 0.6548 0.7500 0.1250
Ge6 0.7500 0.1548 0.3750
Ge7 0.7500 0.3452 0.8750
Ge8 0.8452 0.7500 0.6250
Rh1 0.0000 0.0000 0.5000
Rh2 0.0000 0.5000 0.7500
Rh3 0.5000 0.0000 0.2500
Rh4 0.5000 0.5000 0.0000
```

=====

## Ba3SnPb (PBE)

Data for a geometry-optimized Ba3SnPb structure.

The energy above the most stable polymorph in this dataset comes out at 0.000 eV/atom. The value obtained for the formation energy is -0.51 eV/atom. The value obtained for the magnetic moment is 0.000 μB per atom. As for the space group: Pm.

Structure (CIF):
```
data_Ba3SnPb
_space_group_name_H-M_alt 'P 1'
_space_group_IT_number 1
_space_group_name_Hall 'P 1'
_cell_length_a 7.7579
_cell_length_b 5.6038
_cell_length_c 10.9835
_cell_angle_alpha 90.00
_cell_angle_beta 107.96
_cell_angle_gamma 90.00
loop_
_atom_site_label
_atom_site_fract_x
_atom_site_fract_y
_atom_site_fract_z
Ba1 0.0000 0.0000 0.0000
Ba2 0.0140 0.0000 0.4182
Ba3 0.2050 0.5000 0.7652
Ba4 0.4383 0.0000 0.2943
Ba5 0.5998 0.0000 0.6652
Ba6 0.6234 0.5000 0.1218
Sn1 0.3465 0.5000 0.4833
Sn2 0.4539 0.0000 0.9405
Pb1 0.1243 0.5000 0.1994
Pb2 0.7522 0.5000 0.5019
```

=====

## TiNb3Sn2 (PBE)

Data for a geometry-optimized TiNb3Sn2 structure.

The energy above the most stable polymorph in this dataset comes out at 0.485 eV/atom. The value obtained for the formation energy is 0.36 eV/atom. The value obtained for the magnetic moment is 0.000 μB per atom. As for the space group: Immm.

Structure (CIF):
```
data_TiNb3Sn2
_space_group_name_H-M_alt 'P 1'
_space_group_IT_number 1
_space_group_name_Hall 'P 1'
_cell_length_a 2.9672
_cell_length_b 5.0857
_cell_length_c 16.2157
_cell_angle_alpha 90.00
_cell_angle_beta 90.00
_cell_angle_gamma 90.00
loop_
_atom_site_label
_atom_site_fract_x
_atom_site_fract_y
_atom_site_fract_z
Ti1 0.0000 0.0000 0.0000
Ti2 0.5000 0.5000 0.5000
Nb1 0.0000 0.0000 0.1731
Nb2 0.0000 0.0000 0.8269
Nb3 0.0000 0.5000 0.0000
Nb4 0.5000 0.0000 0.5000
Nb5 0.5000 0.5000 0.3269
Nb6 0.5000 0.5000 0.6731
Sn1 0.0000 0.0000 0.3470
Sn2 0.0000 0.0000 0.6530
Sn3 0.5000 0.5000 0.1530
Sn4 0.5000 0.5000 0.8470
```

=====

## Co2TcPb (PBE)

Data for a geometry-optimized Co2TcPb structure.

The value obtained for the formation energy is 0.47 eV/atom. The value obtained for the magnetic moment is 0.861 μB per atom. As for the space group: P4/mmm.

Structure (CIF):
```
data_Co2TcPb
_space_group_name_H-M_alt 'P 1'
_space_group_IT_number 1
_space_group_name_Hall 'P 1'
_cell_length_a 3.1131
_cell_length_b 3.1131
_cell_length_c 6.4766
_cell_angle_alpha 90.00
_cell_angle_beta 90.00
_cell_angle_gamma 90.00
loop_
_atom_site_label
_atom_site_fract_x
_atom_site_fract_y
_atom_site_fract_z
Co1 0.0000 0.0000 0.1994
Co2 0.0000 0.0000 0.8006
Tc1 0.5000 0.5000 0.0000
Pb1 0.5000 0.5000 0.5000
```

=====

## Dy2Th3Sc2 (PBE)

Data for a geometry-optimized Dy2Th3Sc2 structure.

The value obtained for the formation energy is 0.17 eV/atom. The value obtained for the magnetic moment is 0.000 μB per atom. As for the space group: P2_1/c.

Structure (CIF):
```
data_Dy2Th3Sc2
_space_group_name_H-M_alt 'P 1'
_space_group_IT_number 1
_space_group_name_Hall 'P 1'
_cell_length_a 7.0797
_cell_length_b 6.2370
_cell_length_c 11.6420
_cell_angle_alpha 90.00
_cell_angle_beta 125.15
_cell_angle_gamma 90.00
loop_
_atom_site_label
_atom_site_fract_x
_atom_site_fract_y
_atom_site_fract_z
Dy1 0.1345 0.1640 0.3235
Dy2 0.1345 0.3360 0.8235
Dy3 0.8655 0.6640 0.1765
Dy4 0.8655 0.8360 0.6765
Th1 0.0000 0.0000 0.0000
Th2 0.0000 0.5000 0.5000
Th3 0.3481 0.0157 0.6765
Th4 0.3481 0.4843 0.1765
Th5 0.6519 0.5157 0.8235
Th6 0.6519 0.9843 0.3235
Sc1 0.3714 0.7064 0.4494
Sc2 0.3714 0.7936 0.9494
Sc3 0.6286 0.2064 0.0506
Sc4 0.6286 0.2936 0.5506
```

=====

## AsOsBr2 (PBE)

Data for a geometry-optimized AsOsBr2 structure.

The energy above the most stable polymorph in this dataset comes out at 1.285 eV/atom. The value obtained for the magnetic moment is 0.000 μB per atom. Its formation energy without anion corrections is 1.375 eV per atom. As for the space group: Cmmm.

Structure (CIF):
```
data_AsOsBr2
_space_group_name_H-M_alt 'P 1'
_space_group_IT_number 1
_space_group_name_Hall 'P 1'
_cell_length_a 6.7845
_cell_length_b 6.8034
_cell_length_c 3.2668
_cell_angle_alpha 90.00
_cell_angle_beta 90.00
_cell_angle_gamma 90.00
loop_
_atom_site_label
_atom_site_fract_x
_atom_site_fract_y
_atom_site_fract_z
As1 0.0000 0.0000 0.0000
As2 0.5000 0.5000 0.0000
Os1 0.0000 0.5000 0.0000
Os2 0.5000 0.0000 0.0000
Br1 0.2500 0.2500 0.5000
Br2 0.2500 0.7500 0.5000
Br3 0.7500 0.2500 0.5000
Br4 0.7500 0.7500 0.5000
```

=====

## Y3BiAs2Rh9 (PBE)

Data for a geometry-optimized Y3BiAs2Rh9 structure.

The value obtained for the formation energy is -0.40 eV/atom. The value obtained for the magnetic moment is 0.000 μB per atom. As for the space group: P-3m1.

Structure (CIF):
```
data_Y3BiAs2Rh9
_space_group_name_H-M_alt 'P 1'
_space_group_IT_number 1
_space_group_name_Hall 'P 1'
_cell_length_a 6.2199
_cell_length_b 6.2199
_cell_length_c 9.5974
_cell_angle_alpha 90.00
_cell_angle_beta 90.00
_cell_angle_gamma 120.00
loop_
_atom_site_label
_atom_site_fract_x
_atom_site_fract_y
_atom_site_fract_z
Y1 0.0000 0.0000 0.0000
Y2 0.3333 0.6667 0.7511
Y3 0.6667 0.3333 0.2489
Bi1 0.0000 0.0000 0.5000
As1 0.3333 0.6667 0.1651
As2 0.6667 0.3333 0.8349
Rh1 0.0000 0.5000 0.0000
Rh2 0.1431 0.2862 0.2679
Rh3 0.1431 0.8569 0.2679
Rh4 0.2862 0.1431 0.7321
Rh5 0.5000 0.0000 0.0000
Rh6 0.5000 0.5000 0.0000
Rh7 0.7138 0.8569 0.2679
Rh8 0.8569 0.1431 0.7321
Rh9 0.8569 0.7138 0.7321
```

=====

Please write out number 6 again, unchanged.
## TlGe2Rh (PBE)

Data for a geometry-optimized TlGe2Rh structure.

The energy above the most stable polymorph in this dataset comes out at 0.166 eV/atom. The value obtained for the formation energy is 0.14 eV/atom. The value obtained for the magnetic moment is 0.000 μB per atom. As for the space group: I-42d.

Structure (CIF):
```
data_TlGe2Rh
_space_group_name_H-M_alt 'P 1'
_space_group_IT_number 1
_space_group_name_Hall 'P 1'
_cell_length_a 4.6899
_cell_length_b 4.6899
_cell_length_c 16.1777
_cell_angle_alpha 90.00
_cell_angle_beta 90.00
_cell_angle_gamma 90.00
loop_
_atom_site_label
_atom_site_fract_x
_atom_site_fract_y
_atom_site_fract_z
Tl1 0.0000 0.0000 0.0000
Tl2 0.0000 0.5000 0.2500
Tl3 0.5000 0.0000 0.7500
Tl4 0.5000 0.5000 0.5000
Ge1 0.1548 0.2500 0.6250
Ge2 0.2500 0.6548 0.8750
Ge3 0.2500 0.8452 0.3750
Ge4 0.3452 0.2500 0.1250
Ge5 0.6548 0.7500 0.1250
Ge6 0.7500 0.1548 0.3750
Ge7 0.7500 0.3452 0.8750
Ge8 0.8452 0.7500 0.6250
Rh1 0.0000 0.0000 0.5000
Rh2 0.0000 0.5000 0.7500
Rh3 0.5000 0.0000 0.2500
Rh4 0.5000 0.5000 0.0000
```

=====

What did the fifth record say?
## CaZn2Se (PBE)

Data for a geometry-optimized CaZn2Se structure.

The value obtained for the magnetic moment is 0.000 μB per atom. Its formation energy without anion corrections is -0.438 eV per atom. As for the space group: I-4m2.

Structure (CIF):
```
data_CaZn2Se
_space_group_name_H-M_alt 'P 1'
_space_group_IT_number 1
_space_group_name_Hall 'P 1'
_cell_length_a 4.6070
_cell_length_b 4.6070
_cell_length_c 8.3354
_cell_angle_alpha 90.00
_cell_angle_beta 90.00
_cell_angle_gamma 90.00
loop_
_atom_site_label
_atom_site_fract_x
_atom_site_fract_y
_atom_site_fract_z
Ca1 0.0000 0.0000 0.0000
Ca2 0.5000 0.5000 0.5000
Zn1 0.0000 0.0000 0.5000
Zn2 0.0000 0.5000 0.2500
Zn3 0.5000 0.0000 0.7500
Zn4 0.5000 0.5000 0.0000
Se1 0.0000 0.5000 0.7500
Se2 0.5000 0.0000 0.2500
```

=====

> Which of these has the highest magnetic moment?

Co2TcPb